Here is crystalline Ag2PbCl at its relaxed geometry from the Alexandria database. Energies are from GGA-PBE.

Properties
Magnetization, μB per cell: 0.00
Total energy, eV per cell: -11.9

Lattice parameters (Å, degrees): 3.493 3.493 7.453 90.00 90.00 90.00
Positions (direct):
Ag 0.000 0.000 0.036
Ag 0.500 0.500 0.235
Pb 0.500 0.500 0.783
Cl 0.000 0.000 0.446